First-principles (PBE) data for a geometry-optimized Ge2Pd7Au2 structure, as listed in Alexandria.

```
Ge2Pd7Au2
1.0
5.079 -0.350 -0.506
-0.950 6.112 0.427
-0.950 -1.746 5.873
Pd Au Ge
7 2 2
direct
0.801 0.069 0.584
0.199 0.931 0.416
0.801 0.584 0.069
0.818 0.599 0.599
0.199 0.416 0.931
0.000 0.000 0.000
0.182 0.401 0.401
0.419 0.807 0.807
0.581 0.193 0.193
0.500 0.290 0.710
0.500 0.710 0.290
```

Properties
ΔH_f (0 K): -2.23 eV per formula unit
N(E_F): 5.14 states/eV per cell